# GGA+U RbFeI2O, relaxed
data_RbFeI2O
_space_group_name_H-M_alt 'P 4/m m m'
_space_group_IT_number 123
_space_group_name_Hall '-P 4 2'
_cell_length_a 6.1704
_cell_length_b 6.1704
_cell_length_c 3.7823
_cell_angle_alpha 90.00
_cell_angle_beta 90.00
_cell_angle_gamma 90.00
loop_
_atom_site_label
_atom_site_type_symbol
_atom_site_fract_x
_atom_site_fract_y
_atom_site_fract_z
_atom_site_occupancy
Rb1 Rb 0.0000 0.0000 0.0000 1
Fe1 Fe 0.5000 0.5000 0.5000 1
I1 I 0.0000 0.5000 0.5000 1
O1 O 0.5000 0.5000 0.0000 1
# **Offset from the most stable computed form**: 0.00 eV/f.u.
# **DOS(E_F)**: 0.4 states/eV/f.u.
# **Energy**: -0.2754 Ry/atom
# **V**: 28.80 A^3/atom